1.
Computed, not measured: a relaxed structure of Mg2PbSe at the GGA-PBE level of DFT.

a b c (Å): 5.236 5.236 5.236
angles (deg): 60.00 60.00 60.00
Element x y z (fractional)
Mg  0.000  0.000  0.000
Mg  0.250  0.250  0.250
Pb  0.500  0.500  0.500
Se  0.750  0.750  0.750

Summary:
Energy relative to the elements, uncorrected = 1 meV/atom
Energy relative to the lowest polymorph listed for this composition = 234 kJ/mol of formula units

2.
Computed, not measured: a relaxed structure of Ce3Sm2ErP6 at the GGA-PBE level of DFT.

a b c (Å): 7.059 7.059 7.048
angles (deg): 99.61 99.61 120.01
Element x y z (fractional)
Ce  0.000  0.000  0.000
Ce  0.332  0.668  0.000
Ce  0.668  0.332  0.000
Sm  0.166  0.834  0.500
Sm  0.834  0.166  0.500
Er  0.500  0.500  0.500
P  0.088  0.417  0.250
P  0.255  0.255  0.751
P  0.417  0.088  0.250
P  0.583  0.912  0.750
P  0.745  0.745  0.249
P  0.912  0.583  0.750

Summary:
Formation energy from the elements = -1.544 eV per atom

3.
Computed, not measured: a relaxed structure of Sn2PPd8 at the GGA-PBE level of DFT.

a b c (Å): 7.814 7.814 5.725
angles (deg): 110.42 110.42 33.50
Element x y z (fractional)
Sn  0.180  0.180  0.188
Sn  0.820  0.820  0.812
P  0.500  0.500  0.500
Pd  0.007  0.007  0.267
Pd  0.196  0.196  0.728
Pd  0.362  0.362  0.592
Pd  0.384  0.384  0.104
Pd  0.616  0.616  0.896
Pd  0.638  0.638  0.408
Pd  0.804  0.804  0.272
Pd  0.993  0.993  0.733

Summary:
Formation energy from the elements = -0.481 eV per atom

4.
Computed, not measured: a relaxed structure of CaCS at the GGA-PBE level of DFT.

a b c (Å): 3.990 4.185 8.052
angles (deg): 76.72 88.15 88.86
Element x y z (fractional)
Ca  0.000  0.000  0.000
Ca  0.458  0.235  0.422
C  0.969  0.860  0.569
C  0.995  0.998  0.690
S  0.490  0.448  0.072
S  0.940  0.729  0.386

Summary:
Energy relative to the elements, uncorrected = -712 meV/atom
Energy relative to the lowest polymorph listed for this composition = 35 kJ/mol of formula units

5.
Computed, not measured: a relaxed structure of LiTlInPb at the GGA-PBE level of DFT.

a b c (Å): 5.330 5.330 5.330
angles (deg): 60.00 60.00 60.00
Element x y z (fractional)
Li  0.000  0.000  0.000
Tl  0.250  0.250  0.250
In  0.500  0.500  0.500
Pb  0.750  0.750  0.750

Summary:
Formation energy from the elements = -0.084 eV per atom
Energy relative to the lowest polymorph listed for this composition = 5 kJ/mol of formula units

6.
Computed, not measured: a relaxed structure of HoTmMnPd at the GGA-PBE level of DFT.

a b c (Å): 4.935 4.935 4.935
angles (deg): 60.00 60.00 60.00
Element x y z (fractional)
Ho  0.000  0.000  0.000
Tm  0.500  0.500  0.500
Mn  0.250  0.250  0.250
Pd  0.750  0.750  0.750

Summary:
Formation energy from the elements = -0.299 eV per atom

7.
Computed, not measured: a relaxed structure of TbSmAlGe at the GGA-PBE level of DFT.

a b c (Å): 4.064 5.948 5.948
angles (deg): 43.73 90.00 90.00
Element x y z (fractional)
Tb  0.000  0.000  0.000
Sm  0.500  0.718  0.718
Al  0.500  0.433  0.433
Ge  0.000  0.283  0.283

Summary:
Formation energy from the elements = -0.686 eV per atom